[1]
DFT (GGA-PBE) results for a relaxed Tm4Al12Au crystal.

Cell lengths 7.477, 7.477, 7.477 Å; angles 109.47, 109.47, 109.47 degrees
Fractional coordinates of all 17 atoms:
Tm  0.000  0.000  0.500
Tm  0.500  0.000  0.000
Tm  0.500  0.500  0.500
Tm  0.000  0.500  0.000
Al  0.000  0.300  0.300
Al  0.000  0.700  0.700
Al  0.700  0.700  0.000
Al  0.300  0.300  0.000
Al  0.300  0.000  0.300
Al  0.700  0.000  0.700
Al  0.500  0.250  0.750
Al  0.500  0.750  0.250
Al  0.750  0.250  0.500
Al  0.250  0.750  0.500
Al  0.750  0.500  0.250
Al  0.250  0.500  0.750
Au  0.000  0.000  0.000

Summary:
The value obtained for the formation enthalpy at 0 K is -7.69 eV/f.u. Its total magnetic moment is 0.00 μB per cell. For the total energy, the calculation gives -4.34 eV per atom.

---

[2]
DFT (GGA-PBE) results for a relaxed K2ZrTl crystal.

Cell lengths 7.050, 7.050, 7.050 Å; angles 142.69, 142.69, 53.80 degrees
Last column: magnetic moment on the atom in μB.
Fractional coordinates of all 4 atoms:
K  0.000  0.000  0.000  0.01
K  0.500  0.500  0.000  0.01
Tl  0.750  0.250  0.500  0.00
Zr  0.250  0.750  0.500  0.40

Summary:
The value obtained for the formation enthalpy at 0 K is 2.22 eV/f.u. Its total magnetic moment is 0.73 μB per cell. For the total energy, the calculation gives -2.72 eV per atom.